Compound: TlHgIr2
Source: Alexandria
Functional: PBE
Structure: optimized geometry

a = 3.299 Å, b = 3.299 Å, c = 6.582 Å
α = 90.00°, β = 90.00°, γ = 90.00°
Element x y z (fractional)
Tl 0.000 0.000 0.000
Hg 0.000 0.000 0.500
Ir 0.500 0.500 0.247
Ir 0.500 0.500 0.753

**Energy relative to the elements**: 0.61 eV per atom
**Energy**: -17.93 eV per formula unit
**Crystal system**: tetragonal
**Polymorph energy (0 for the lowest one)**: 185 meV per atom
**Space group**: P4/mmm

---

Compound: TlHgIr4
Source: Alexandria
Functional: PBE
Structure: optimized geometry

a = 5.330 Å, b = 5.330 Å, c = 5.330 Å
α = 60.00°, β = 60.00°, γ = 60.00°
Element x y z (fractional)
Tl 0.000 0.000 0.000
Hg 0.750 0.750 0.750
Ir 0.375 0.375 0.375
Ir 0.375 0.375 0.875
Ir 0.375 0.875 0.375
Ir 0.875 0.375 0.375

**Energy relative to the elements**: 0.61 eV per atom
**Energy**: -34.47 eV per formula unit
**Crystal system**: cubic
**Space group**: F-43m

---

Compound: TlHgIr2
Source: Alexandria
Functional: PBE
Structure: optimized geometry

a = 10.658 Å, b = 2.961 Å, c = 5.136 Å
α = 90.00°, β = 114.33°, γ = 90.00°
Element x y z (fractional)
Tl 0.000 0.000 0.000
Tl 0.500 0.500 0.000
Hg 0.290 0.500 0.402
Hg 0.790 0.000 0.402
Ir 0.045 0.500 0.511
Ir 0.241 0.000 0.885
Ir 0.545 0.000 0.511
Ir 0.741 0.500 0.885

**Energy relative to the elements**: 0.51 eV per atom
**Energy**: -18.36 eV per formula unit
**Crystal system**: monoclinic
**Polymorph energy (0 for the lowest one)**: 77 meV per atom
**Space group**: Cm

---

Compound: TlHgIr2
Source: Alexandria
Functional: PBE
Structure: optimized geometry

a = 2.995 Å, b = 4.707 Å, c = 5.288 Å
α = 90.00°, β = 91.34°, γ = 90.00°
Element x y z (fractional)
Tl 0.000 0.000 0.000
Hg 0.500 0.000 0.500
Ir 0.227 0.500 0.277
Ir 0.773 0.500 0.723

**Energy relative to the elements**: 0.64 eV per atom
**Energy**: -17.85 eV per formula unit
**Crystal system**: monoclinic
**Polymorph energy (0 for the lowest one)**: 207 meV per atom
**Space group**: P2/m

---

Compound: Tl2HgIr2
Source: Alexandria
Functional: PBE
Structure: optimized geometry

a = 4.419 Å, b = 4.419 Å, c = 11.613 Å
α = 90.00°, β = 90.00°, γ = 90.00°
Element x y z (fractional)
Tl 0.000 0.500 0.250
Tl 0.000 0.500 0.750
Tl 0.500 0.000 0.250
Tl 0.500 0.000 0.750
Hg 0.000 0.000 0.000
Hg 0.500 0.500 0.500
Ir 0.000 0.000 0.394
Ir 0.000 0.000 0.606
Ir 0.500 0.500 0.106
Ir 0.500 0.500 0.894

**Energy relative to the elements**: 0.65 eV per atom
**Energy**: -19.51 eV per formula unit
**Crystal system**: tetragonal
**Polymorph energy (0 for the lowest one)**: 205 meV per atom
**Space group**: I4/mmm

---

Compound: Tm5Tl2HgIr2
Source: Alexandria
Functional: PBE
Structure: optimized geometry

a = 11.904 Å, b = 11.904 Å, c = 3.576 Å
α = 90.00°, β = 90.00°, γ = 90.00°
Element x y z (fractional)
Tm 0.000 0.500 0.000
Tm 0.077 0.205 0.000
Tm 0.205 0.923 0.000
Tm 0.295 0.423 0.000
Tm 0.423 0.705 0.000
Tm 0.500 0.000 0.000
Tm 0.577 0.295 0.000
Tm 0.705 0.577 0.000
Tm 0.795 0.077 0.000
Tm 0.923 0.795 0.000
Tl 0.172 0.672 0.500
Tl 0.328 0.172 0.500
Tl 0.672 0.828 0.500
Tl 0.828 0.328 0.500
Hg 0.000 0.000 0.500
Hg 0.500 0.500 0.500
Ir 0.131 0.369 0.500
Ir 0.369 0.869 0.500
Ir 0.631 0.131 0.500
Ir 0.869 0.631 0.500

**Energy relative to the elements**: -0.55 eV per atom
**Energy**: -50.63 eV per formula unit
**Crystal system**: tetragonal
**Space group**: P4/mbm